Version one
AlRuRh after structural relaxation, computed with PBE.

Computed properties:
Symmetry: No. 42
Density of states at the Fermi level: 1.17 states/eV per atom
Total magnetization: 0.006 μB per formula unit

Unit cell a=6.7933 b=6.5440 c=2.7335 alpha=83.34 beta=73.10 gamma=23.56
Fractional coordinates of all 3 atoms:
Ru 0.6595 0.6595 0.3405
Rh 0.3412 0.3412 0.6588
Al 0.9993 0.9993 0.0007

Version two
AlRuRh after structural relaxation, computed with PBE.

Computed properties:
Symmetry: No. 156
Density of states at the Fermi level: 0.71 states/eV per atom
Total magnetization: 0.000 μB per formula unit

Unit cell a=2.7720 b=2.7720 c=6.3245 alpha=90.00 beta=90.00 gamma=120.00
Fractional coordinates of all 3 atoms:
Al 0.0000 0.0000 0.0021
Rh 0.6667 0.3333 0.3244
Ru 0.3333 0.6667 0.6735

Which is most stable, and by how much? version two, by 162 meV per atom.

Version one
Al2Sb2Rh after structural relaxation, computed with PBE.

Computed properties:
Symmetry: No. 127
Density of states at the Fermi level: 0.80 states/eV per atom
Total magnetization: 0.000 μB per formula unit

Unit cell a=6.6548 b=6.6548 c=4.5830 alpha=90.00 beta=90.00 gamma=90.00
Fractional coordinates of all 10 atoms:
Al 0.8576 0.6424 0.0000
Al 0.3576 0.8576 0.0000
Al 0.6424 0.1424 0.0000
Al 0.1424 0.3576 0.0000
Sb 0.6759 0.8241 0.5000
Sb 0.8241 0.3241 0.5000
Sb 0.1759 0.6759 0.5000
Sb 0.3241 0.1759 0.5000
Rh 0.5000 0.5000 0.0000
Rh 0.0000 0.0000 0.0000

Version two
Al2Sb2Rh after structural relaxation, computed with PBE.

Computed properties:
Symmetry: No. 139
Density of states at the Fermi level: 0.83 states/eV per atom
Total magnetization: 0.000 μB per formula unit

Unit cell a=3.9856 b=3.9856 c=7.7772 alpha=75.15 beta=75.15 gamma=90.00
Fractional coordinates of all 5 atoms:
Al 0.5866 0.5866 0.8269
Al 0.4134 0.4134 0.1731
Sb 0.2500 0.7500 0.5000
Sb 0.7500 0.2500 0.5000
Rh 0.0000 0.0000 0.0000

Which is most stable, and by how much? version one, by 583 meV per atom.

Version one
AlSbRh3 after structural relaxation, computed with PBE.

Computed properties:
Symmetry: No. 221
Density of states at the Fermi level: 2.74 states/eV per atom
Total magnetization: 0.000 μB per formula unit

Unit cell a=4.4921 b=4.4921 c=4.4921 alpha=90.00 beta=90.00 gamma=90.00
Fractional coordinates of all 5 atoms:
Rh 0.0000 0.0000 0.5000
Rh 0.0000 0.5000 0.0000
Rh 0.5000 0.0000 0.0000
Sb 0.5000 0.5000 0.5000
Al 0.0000 0.0000 0.0000

Version two
AlSbRh3 after structural relaxation, computed with PBE.

Computed properties:
Symmetry: No. 221
Density of states at the Fermi level: 1.92 states/eV per atom
Total magnetization: 0.000 μB per formula unit

Unit cell a=4.7780 b=4.7780 c=4.7780 alpha=90.00 beta=90.00 gamma=90.00
Fractional coordinates of all 5 atoms:
Sb 0.0000 0.0000 0.0000
Al 0.5000 0.5000 0.5000
Rh 0.5000 0.0000 0.0000
Rh 0.0000 0.0000 0.5000
Rh 0.0000 0.5000 0.0000

Which is most stable, and by how much? version one, by 500 meV per atom.

Version one
AlSbTe2Rh after structural relaxation, computed with PBE.

Computed properties:
Symmetry: No. 123
Density of states at the Fermi level: 0.81 states/eV per atom
Total magnetization: 0.007 μB per formula unit

Unit cell a=5.1948 b=5.1948 c=5.1272 alpha=90.00 beta=90.00 gamma=90.00
Fractional coordinates of all 5 atoms:
Rh 0.5000 0.5000 0.5000
Te 0.5000 0.0000 0.0000
Te 0.0000 0.5000 0.0000
Sb 0.0000 0.0000 0.5000
Al 0.0000 0.0000 0.0000

Version two
AlSbTe2Rh after structural relaxation, computed with PBE.

Computed properties:
Symmetry: No. 123
Density of states at the Fermi level: 1.13 states/eV per atom
Total magnetization: 0.000 μB per formula unit

Unit cell a=5.4423 b=5.4423 c=4.9253 alpha=90.00 beta=90.00 gamma=90.00
Fractional coordinates of all 5 atoms:
Sb 0.0000 0.0000 0.5000
Te 0.0000 0.5000 0.0000
Te 0.5000 0.0000 0.0000
Al 0.5000 0.5000 0.5000
Rh 0.0000 0.0000 0.0000

Which is most stable, and by how much? version two, by 452 meV per atom.

Version one
AlSb2TeRh after structural relaxation, computed with PBE.

Computed properties:
Symmetry: No. 123
Density of states at the Fermi level: 0.86 states/eV per atom
Total magnetization: 0.000 μB per formula unit

Unit cell a=5.0237 b=5.0237 c=5.7029 alpha=90.00 beta=90.00 gamma=90.00
Fractional coordinates of all 5 atoms:
Rh 0.0000 0.0000 0.0000
Sb 0.0000 0.5000 0.0000
Sb 0.5000 0.0000 0.0000
Al 0.5000 0.5000 0.5000
Te 0.0000 0.0000 0.5000

Version two
AlSb2TeRh after structural relaxation, computed with PBE.

Computed properties:
Symmetry: No. 123
Density of states at the Fermi level: 0.70 states/eV per atom
Total magnetization: 0.000 μB per formula unit

Unit cell a=5.1208 b=5.1208 c=5.1933 alpha=90.00 beta=90.00 gamma=90.00
Fractional coordinates of all 5 atoms:
Sb 0.5000 0.0000 0.0000
Sb 0.0000 0.5000 0.0000
Te 0.0000 0.0000 0.5000
Al 0.0000 0.0000 0.0000
Rh 0.5000 0.5000 0.5000

Which is most stable, and by how much? version one, by 479 meV per atom.

Version one
ScAl2Rh3 after structural relaxation, computed with PBE.

Computed properties:
Symmetry: No. 123
Density of states at the Fermi level: 0.26 states/eV per atom
Total magnetization: 0.000 μB per formula unit

Unit cell a=3.0847 b=3.0847 c=9.2178 alpha=90.00 beta=90.00 gamma=90.00
Fractional coordinates of all 6 atoms:
Rh 0.0000 0.0000 0.3183
Rh 0.0000 0.0000 0.6817
Rh 0.0000 0.0000 0.0000
Al 0.5000 0.5000 0.1610
Al 0.5000 0.5000 0.8390
Sc 0.5000 0.5000 0.5000

Version two
ScAl2Rh3 after structural relaxation, computed with PBE.

Computed properties:
Symmetry: No. 164
Density of states at the Fermi level: 0.24 states/eV per atom
Total magnetization: 0.000 μB per formula unit

Unit cell a=4.3510 b=4.3510 c=10.6647 alpha=90.00 beta=90.00 gamma=120.00
Fractional coordinates of all 12 atoms:
Rh 0.6667 0.3333 0.0765
Rh 0.0000 0.0000 0.7609
Rh 0.3333 0.6667 0.9235
Rh 0.3333 0.6667 0.4152
Rh 0.0000 0.0000 0.2391
Rh 0.6667 0.3333 0.5848
Sc 0.3333 0.6667 0.6699
Sc 0.6667 0.3333 0.3301
Al 0.0000 0.0000 0.5000
Al 0.3333 0.6667 0.1639
Al 0.6667 0.3333 0.8361
Al 0.0000 0.0000 0.0000

Which is most stable, and by how much? version two, by 36 meV per atom.